4
Lattice="-1.5916 2.4829 5.6956 1.5916 -2.4829 5.6956 1.5916 2.4829 -5.6956" Properties=species:S:1:pos:R:3 comment="LaMg2Mn | Alexandria via LeMat-Bulk | GGA-PBEsol | relaxed" e_form_ev_per_atom=0.205 dft_energy_ev_per_atom=-4.43 magnetic_moment_mub_per_cell=2.6 n_ef_per_ev_cell=3.3 pbc="T T T"
La 0.0000 0.0000 0.0000
Mg 1.5916 0.0000 3.3231
Mg 0.0000 2.4829 2.3725
Mn 0.0000 0.0000 5.6956